1.
Here is a geometry-optimized AgTe2W structure from Alexandria. Energies are from PBE.

Cell: 3.130 3.130 10.735 Å, 90.00 90.00 115.33°
Positions (direct):
Ag: 0.500 0.500 0.750
W: 0.500 0.500 0.250
Te: 0.000 0.000 0.457
Te: 0.000 0.000 0.043

Results
For the uncorrected formation energy, the calculation gives 0.653 eV/atom.

***

2.
Here is a geometry-optimized AgTe2W structure from Alexandria. Energies are from PBE.

Cell: 4.907 4.907 4.907 Å, 60.00 60.00 60.00°
Last column: magnetic moment on the atom in μB.
Positions (direct):
Te: 0.250 0.250 0.250  -0.01
Ag: 0.000 0.000 0.000  0.01
W: 0.500 0.500 0.500  0.58
Te: 0.750 0.750 0.750  -0.01

Results
For the uncorrected formation energy, the calculation gives 0.637 eV/atom.

***

3.
Here is a geometry-optimized Ag2TeW structure from Alexandria. Energies are from PBE.

Cell: 9.380 9.380 9.380 Å, 19.59 19.59 19.59°
Positions (direct):
Ag: 0.003 0.003 0.003
Te: 0.489 0.489 0.489
W: 0.750 0.750 0.750
Ag: 0.258 0.258 0.258

Results
For the uncorrected formation energy, the calculation gives 0.485 eV/atom.

***

4.
Here is a geometry-optimized Ag2TeW structure from Alexandria. Energies are from PBE.

Cell: 5.264 5.264 2.872 Å, 90.00 90.00 90.00°
Positions (direct):
Te: 0.500 0.000 0.500
Ag: 0.500 0.500 0.000
W: 0.000 0.500 0.500
Ag: 0.000 0.000 0.000

Results
For the uncorrected formation energy, the calculation gives 0.980 eV/atom.

***

5.
Here is a geometry-optimized AgTeW2 structure from Alexandria. Energies are from PBE.

Cell: 5.581 5.581 5.581 Å, 145.97 130.72 61.25°
Positions (direct):
W: 0.485 0.485 0.000
Te: 0.250 0.750 0.500
W: 0.015 0.015 0.000
Ag: 0.750 0.250 0.500

Results
For the uncorrected formation energy, the calculation gives 0.900 eV/atom.

***

6.
Here is a geometry-optimized AgTeW2 structure from Alexandria. Energies are from PBE.

Cell: 5.934 5.934 5.934 Å, 149.31 132.05 58.01°
Positions (direct):
Te: 0.221 0.721 0.500
W: 0.981 0.981 0.000
W: 0.794 0.294 0.500
Ag: 0.504 0.504 0.000

Results
For the uncorrected formation energy, the calculation gives 0.816 eV/atom.

***

7.
Here is a geometry-optimized AgTe2W structure from Alexandria. Energies are from PBE.

Cell: 7.235 7.235 7.235 Å, 154.16 140.47 47.83°
Positions (direct):
Ag: 0.750 0.250 0.500
Te: 0.087 0.087 0.000
Te: 0.413 0.413 0.000
W: 0.250 0.750 0.500

Results
For the uncorrected formation energy, the calculation gives 0.399 eV/atom.

***

8.
Here is a geometry-optimized AgTe2W structure from Alexandria. Energies are from PBE.

Cell: 3.670 5.644 4.280 Å, 90.00 90.00 90.00°
Positions (direct):
Ag: 0.000 0.500 0.500
Te: 0.000 0.000 0.000
Te: 0.500 0.500 0.000
W: 0.500 0.000 0.500

Results
For the uncorrected formation energy, the calculation gives 0.973 eV/atom.

***

Fermi-level density of states in states/eV/atom, matching the order above: 0.928 0.818 0.552 0.844 0.904 0.682 0.859 0.858